(1)
Cr3SiAs after structural relaxation. Source: Alexandria, functional PBE.

Summary:
Calculated total energy: -6.72 eV/atom

Unit cell a=4.2526 b=4.2526 c=4.2526 alpha=90.00 beta=90.00 gamma=90.00
Space group Pm-3m (No. 221)
One atom of each set of equivalent atoms:
Cr (0.0000, 0.0000, 0.5000) x3
Si (0.0000, 0.0000, 0.0000) x1
As (0.5000, 0.5000, 0.5000) x1

=====

(2)
Ir2Pb2O7 after structural relaxation. Source: Alexandria, functional PBE.

Summary:
Calculated total energy: -6.41 eV/atom
Polymorph energy (0 for the lowest one): 0 meV/atom

Unit cell a=10.4094 b=10.4094 c=10.4094 alpha=90.00 beta=90.00 gamma=90.00
Space group Fd-3m (No. 227, origin choice 2)
One atom of each set of equivalent atoms:
Ir (0.0000, 0.0000, 0.0000) x16
Pb (0.0000, 0.0000, 0.5000) x16
O (0.0782, 0.3750, 0.3750) x48
O (0.1250, 0.1250, 0.6250) x8

=====

(3)
AlTlCu2 after structural relaxation. Source: Alexandria, functional PBE.

Summary:
Calculated total energy: -3.34 eV/atom
Polymorph energy (0 for the lowest one): 135 meV/atom

Unit cell a=4.1277 b=4.1277 c=3.8527 alpha=90.00 beta=90.00 gamma=90.00
Space group P4/mmm (No. 123)
One atom of each set of equivalent atoms:
Al (0.0000, 0.0000, 0.0000) x1
Tl (0.5000, 0.5000, 0.0000) x1
Cu (0.0000, 0.5000, 0.5000) x2

=====

(4)
LaDyCdCo after structural relaxation. Source: Alexandria, functional PBE.

Summary:
Calculated total energy: -4.46 eV/atom

Unit cell a=7.3147 b=7.3147 c=7.3147 alpha=90.00 beta=90.00 gamma=90.00
Space group F-43m (No. 216)
One atom of each set of equivalent atoms:
La (0.0000, 0.0000, 0.0000) x4
Dy (0.0000, 0.0000, 0.5000) x4
Cd (0.2500, 0.2500, 0.7500) x4
Co (0.2500, 0.2500, 0.2500) x4

=====

(5)
Pm4ErTm2Th after structural relaxation. Source: Alexandria, functional PBE.

Summary:
Calculated total energy: -4.96 eV/atom

Unit cell a=5.0589 b=5.0589 c=10.1689 alpha=90.00 beta=90.00 gamma=90.00
Space group P4/mmm (No. 123)
One atom of each set of equivalent atoms:
Pm (0.0000, 0.5000, 0.2493) x4
Er (0.0000, 0.0000, 0.5000) x1
Tm (0.0000, 0.0000, 0.0000) x1
Tm (0.5000, 0.5000, 0.5000) x1
Th (0.5000, 0.5000, 0.0000) x1

=====

(6)
Na3Er3ScTe8 after structural relaxation. Source: Alexandria, functional PBE.

Summary:
Calculated total energy: -4.49 eV/atom

Unit cell a=8.5721 b=8.5721 c=23.2798 alpha=90.00 beta=90.00 gamma=120.00
Space group R-3m (No. 166, hexagonal axes)
One atom of each set of equivalent atoms:
Na (0.0000, 0.5000, 0.0000) x9
Er (0.0000, 0.5000, 0.5000) x9
Sc (0.0000, 0.0000, 0.5000) x3
Te (0.0000, 0.0000, 0.2439) x6
Te (0.0082, 0.5041, 0.2415) x18

=====

(7)
KMg5 after structural relaxation. Source: Alexandria, functional PBE.

Summary:
Calculated total energy: -1.36 eV/atom
Polymorph energy (0 for the lowest one): 40 meV/atom

Unit cell a=8.7682 b=8.7682 c=8.7682 alpha=90.00 beta=90.00 gamma=90.00
Space group F-43m (No. 216)
One atom of each set of equivalent atoms:
K (0.0000, 0.0000, 0.0000) x4
Mg (0.1241, 0.1241, 0.6241) x16
Mg (0.2500, 0.2500, 0.2500) x4

=====

(8)
Mg4InSn2 after structural relaxation. Source: Alexandria, functional PBE.

Summary:
Calculated total energy: -2.38 eV/atom
Polymorph energy (0 for the lowest one): 29 meV/atom

Unit cell a=5.5986 b=5.5986 c=11.8346 alpha=90.00 beta=90.00 gamma=90.00
Space group I4/mmm (No. 139)
One atom of each set of equivalent atoms:
Mg (0.0000, 0.5000, 0.0000) x4
Mg (0.0000, 0.5000, 0.2500) x4
In (0.0000, 0.0000, 0.0000) x2
Sn (0.0000, 0.0000, 0.3683) x4

=====

(9)
Ce3Pm2Tc2 after structural relaxation. Source: Alexandria, functional PBE.

Summary:
Calculated total energy: -6.92 eV/atom

Unit cell a=11.8590 b=3.8407 c=8.5827 alpha=90.00 beta=111.74 gamma=90.00
Space group C2/m (No. 12)
One atom of each set of equivalent atoms:
Ce (0.0000, 0.0000, 0.0000) x2
Ce (0.1173, 0.0000, 0.4280) x4
Pm (0.1620, 0.5000, 0.8092) x4
Tc (0.1387, 0.5000, 0.2345) x4

=====

(10)
CePm4Sb3 after structural relaxation. Source: Alexandria, functional PBE.

Summary:
Calculated total energy: -5.47 eV/atom

Unit cell a=11.3154 b=4.7241 c=9.8288 alpha=90.00 beta=112.54 gamma=90.00
Space group C2/m (No. 12)
One atom of each set of equivalent atoms:
Ce (0.0000, 0.0000, 0.0000) x2
Pm (0.1318, 0.0000, 0.4018) x4
Pm (0.1453, 0.5000, 0.8465) x4
Sb (0.0000, 0.5000, 0.5000) x2
Sb (0.1755, 0.5000, 0.1998) x4

=====

(11)
SrMgRu2 after structural relaxation. Source: Alexandria, functional PBE.

Summary:
Calculated total energy: -4.79 eV/atom

Unit cell a=6.0060 b=8.8360 c=2.9280 alpha=90.00 beta=90.00 gamma=90.00
Space group Cmmm (No. 65)
One atom of each set of equivalent atoms:
Sr (0.0000, 0.0000, 0.0000) x2
Mg (0.0000, 0.5000, 0.0000) x2
Ru (0.2500, 0.2500, 0.5000) x4

=====

(12)
Sb2AsRuBr after structural relaxation. Source: Alexandria, functional PBE.

Summary:
Calculated total energy: -4.48 eV/atom

Unit cell a=5.2939 b=5.2939 c=4.6608 alpha=90.00 beta=90.00 gamma=90.00
Space group P4/mmm (No. 123)
One atom of each set of equivalent atoms:
Sb (0.0000, 0.5000, 0.0000) x2
As (0.0000, 0.0000, 0.5000) x1
Ru (0.0000, 0.0000, 0.0000) x1
Br (0.5000, 0.5000, 0.5000) x1